Material: Zr2MnFe
Method: DFT, PBE
State: relaxed

abc: 5.7518 5.7518 5.7518
angles: 104.42 104.42 120.13
Closest atoms and distances in Å follow each position.
Atoms (fractional coordinates):
Zr 0.1010 0.6250 0.9760  2 Fe 2.48, 2 Mn 2.71
Zr 0.3750 0.3510 0.4760  2 Fe 2.48, 2 Mn 2.71
Zr 0.6490 0.1250 0.0240  2 Fe 2.48, 2 Mn 2.71
Zr 0.8750 0.8990 0.5240  2 Fe 2.48, 2 Mn 2.71
Mn 0.2500 0.7500 0.5000  4 Zr 2.71, 2 Fe 2.87
Mn 0.5000 0.5000 0.0000  4 Zr 2.71, 2 Fe 2.87
Fe 0.0000 0.0000 0.0000  4 Zr 2.48
Fe 0.7500 0.2500 0.5000  4 Zr 2.48

* E_form: 0.387 eV per atom
* total magnetic moment: 2.55 μB/f.u.
* total energy: -8.30 eV/atom
* polymorph energy (0 for the lowest one): 496 meV per atom